# 1
GGA-PBE Pa3Ga7Ni2, optimized geometry; energy = -5.519 eV per atom; space-group type = P2/m (10); formation energy = -416.0 meV per atom; D(E_F) = 12.41 states/eV per cell
1.0
-2.5097 -2.4338 -2.2238
2.9772 -2.9198 -0.1644
-6.0202 -3.7889 10.9406
Pa Ga Ni
3 7 2
direct
0.0000 0.8175 0.6361 Pa
0.0000 0.1825 0.3639 Pa
0.5000 0.5000 0.0000 Pa
0.5000 0.2763 0.5529 Ga
0.5000 0.9147 0.8284 Ga
0.0000 0.4134 0.8279 Ga
0.5000 0.7237 0.4471 Ga
0.0000 0.0000 0.0000 Ga
0.0000 0.5866 0.1721 Ga
0.5000 0.0853 0.1716 Ga
0.5000 0.3682 0.7341 Ni
0.5000 0.6318 0.2659 Ni


# 2
GGA-PBE PaGaNi, optimized geometry; energy = -6.470 eV per atom; space-group type = I4mm (107); formation energy = -368.5 meV per atom; D(E_F) = 2.10 states/eV per cell
1.0
-0.8135 2.9839 -0.0352
-2.6946 -0.7188 1.3376
3.9965 -0.4637 4.2256
Pa Ni Ga
1 1 1
direct
0.6284 0.6284 0.2567 Pa
0.3001 0.3001 0.6003 Ni
0.9215 0.9215 0.8430 Ga


# 3
GGA-PBE Pa2Ga6Ni9, optimized geometry; energy = -5.554 eV per atom; space-group type = P6/mmm (191); formation energy = -307.7 meV per atom; D(E_F) = 12.23 states/eV per cell
1.0
5.1137 0.0000 0.0000
-2.5568 4.4286 0.0000
0.0000 0.0000 11.7561
Ni Ga Pa
9 6 2
direct
0.0000 0.5000 0.1692 Ni
0.5000 0.0000 0.5000 Ni
0.0000 0.5000 0.5000 Ni
0.0000 0.5000 0.8308 Ni
0.5000 0.5000 0.8308 Ni
0.5000 0.5000 0.5000 Ni
0.5000 0.0000 0.1692 Ni
0.5000 0.5000 0.1692 Ni
0.5000 0.0000 0.8308 Ni
0.3333 0.6667 0.6597 Ga
0.6667 0.3333 0.6597 Ga
0.6667 0.3333 0.0000 Ga
0.6667 0.3333 0.3403 Ga
0.3333 0.6667 0.0000 Ga
0.3333 0.6667 0.3403 Ga
0.0000 0.0000 0.7228 Pa
0.0000 0.0000 0.2772 Pa


# 4
GGA-PBE Pa5Ga3Ni3, optimized geometry; energy = -6.654 eV per atom; space-group type = P-62m (189); formation energy = 64.5 meV per atom; D(E_F) = 14.54 states/eV per cell
1.0
-0.2908 -3.6249 -1.9321
8.3076 -0.9667 0.5633
-4.9760 -2.8579 6.1106
Ni Ga Pa
3 3 5
direct
0.5000 0.0000 0.3234 Ni
0.5000 0.3234 0.0000 Ni
0.5000 0.6766 0.6766 Ni
0.0000 0.5393 0.5393 Ga
0.0000 0.4607 0.0000 Ga
0.0000 0.0000 0.4607 Ga
0.5000 0.6667 0.3333 Pa
0.5000 0.2757 0.2757 Pa
0.5000 0.0000 0.7243 Pa
0.5000 0.3333 0.6667 Pa
0.5000 0.7243 0.0000 Pa


# 5
GGA-PBE PaGaNi, optimized geometry; energy = -6.565 eV per atom; space-group type = P-6m2 (187); formation energy = -463.8 meV per atom; D(E_F) = 3.40 states/eV per cell
1.0
-2.1837 1.2012 2.1729
-2.9323 0.4181 -3.1780
0.2284 -3.6955 2.2723
Pa Ni Ga
1 1 1
direct
0.6666 0.3333 0.6667 Pa
0.1667 0.0000 0.0000 Ni
0.1667 0.6667 0.3333 Ga


# 6
GGA-PBE Pa2Ga3Ni5, optimized geometry; energy = -6.102 eV per atom; space-group type = Ibam (72); formation energy = -404.5 meV per atom; D(E_F) = 21.36 states/eV per cell
1.0
-4.1746 -3.6810 0.6706
0.7157 -6.0303 -5.2136
2.1731 -5.8125 5.0548
Ga Ni Pa
6 10 4
direct
0.3608 0.5294 0.7491 Ga
0.7500 0.0000 0.0000 Ga
0.8608 0.7491 0.5294 Ga
0.6392 0.4706 0.2509 Ga
0.1392 0.2509 0.4706 Ga
0.2500 0.0000 0.0000 Ga
0.1132 0.0517 0.7219 Ni
0.6132 0.7219 0.0517 Ni
0.7500 0.5000 0.5000 Ni
0.9714 0.7786 0.7786 Ni
0.5286 0.2214 0.2214 Ni
0.2500 0.5000 0.5000 Ni
0.4714 0.7786 0.7786 Ni
0.3868 0.2781 0.9483 Ni
0.8868 0.9483 0.2781 Ni
0.0286 0.2214 0.2214 Ni
0.8747 0.3977 0.8529 Pa
0.6253 0.1471 0.6023 Pa
0.1253 0.6023 0.1471 Pa
0.3747 0.8529 0.3977 Pa


# 7
GGA-PBE Pa3Ga5Ni2, optimized geometry; energy = -5.760 eV per atom; space-group type = Ibam (72); formation energy = -241.6 meV per atom; D(E_F) = 25.07 states/eV per cell
1.0
6.2530 0.0000 0.0000
3.1265 7.8167 -0.3424
3.1265 1.7442 7.6273
Ga Ni Pa
10 4 6
direct
0.7500 0.5000 0.5000 Ga
0.6098 0.2319 0.5484 Ga
0.0147 0.7353 0.7353 Ga
0.9853 0.2647 0.2647 Ga
0.5147 0.7353 0.7353 Ga
0.2500 0.5000 0.5000 Ga
0.1098 0.5484 0.2319 Ga
0.4853 0.2647 0.2647 Ga
0.8902 0.4516 0.7681 Ga
0.3902 0.7681 0.4516 Ga
0.1529 0.7274 0.9668 Ni
0.8471 0.2726 0.0332 Ni
0.3471 0.0332 0.2726 Ni
0.6529 0.9668 0.7274 Ni
0.2500 0.0000 0.0000 Pa
0.3636 0.3749 0.8979 Pa
0.6364 0.6251 0.1021 Pa
0.1364 0.1021 0.6251 Pa
0.8636 0.8979 0.3749 Pa
0.7500 0.0000 0.0000 Pa


# 8
GGA-PBE Pa2GaNi4, optimized geometry; energy = -6.355 eV per atom; space-group type = I4/mmm (139); formation energy = 94.1 meV per atom; D(E_F) = 8.50 states/eV per cell
1.0
-0.3645 2.3883 -3.6932
-0.7138 -3.6889 -2.3150
-5.9144 1.2542 4.0316
Ni Pa Ga
4 2 1
direct
0.8207 0.8207 0.6414 Ni
0.5000 0.0000 0.0000 Ni
0.0000 0.5000 0.0000 Ni
0.1793 0.1793 0.3586 Ni
0.6394 0.6394 0.2789 Pa
0.3606 0.3606 0.7211 Pa
0.0000 0.0000 0.0000 Ga


# 9
GGA-PBE PaGaNi, optimized geometry; energy = -6.573 eV per atom; space-group type = Pmma (51); formation energy = -472.0 meV per atom; D(E_F) = 20.89 states/eV per cell
1.0
3.9262 0.0000 0.0000
0.0000 6.6611 0.0000
0.0000 0.0000 12.3421
Ni Pa Ga
6 6 6
direct
0.5000 0.0286 0.0984 Ni
0.5000 0.0286 0.4016 Ni
0.5000 0.9714 0.9016 Ni
0.0000 0.5331 0.2500 Ni
0.0000 0.4669 0.7500 Ni
0.5000 0.9714 0.5984 Ni
0.0000 0.2665 0.5381 Pa
0.0000 0.7335 0.0381 Pa
0.0000 0.2665 0.9619 Pa
0.0000 0.7335 0.4619 Pa
0.0000 0.8948 0.7500 Pa
0.0000 0.1052 0.2500 Pa
0.5000 0.4073 0.3617 Ga
0.5000 0.7633 0.2500 Ga
0.5000 0.5927 0.8617 Ga
0.5000 0.5927 0.6383 Ga
0.5000 0.2367 0.7500 Ga
0.5000 0.4073 0.1383 Ga


# 10
GGA-PBE Pa2GaNi2, optimized geometry; energy = -7.125 eV per atom; space-group type = Immm (71); formation energy = -408.4 meV per atom; D(E_F) = 6.83 states/eV per cell
1.0
4.2075 0.0000 0.0000
2.1038 4.7586 0.2535
2.1038 1.2907 4.5872
Ni Pa Ga
2 2 1
direct
0.5000 0.2700 0.7300 Ni
0.5000 0.7300 0.2700 Ni
0.8022 0.6978 0.6978 Pa
0.1978 0.3022 0.3022 Pa
0.0000 0.0000 0.0000 Ga


# 11
GGA-PBE Pa2GaNi, optimized geometry; energy = -7.221 eV per atom; space-group type = P4/mmm (123); formation energy = -271.1 meV per atom; D(E_F) = 5.08 states/eV per cell
1.0
3.1005 0.0000 0.0000
0.0000 3.1005 0.0000
0.0000 0.0000 8.1980
Ga Pa Ni
1 2 1
direct
0.5000 0.5000 0.5000 Ga
0.0000 0.0000 0.2299 Pa
0.0000 0.0000 0.7701 Pa
0.5000 0.5000 0.0000 Ni


# 12
GGA-PBE PaGa2Ni4, optimized geometry; energy = -5.293 eV per atom; space-group type = I4/mmm (139); relative energy among the computed polymorphs = 733 meV per atom; formation energy = 231.6 meV per atom; D(E_F) = 7.10 states/eV per cell
1.0
5.6124 -0.4238 0.0000
-3.1190 4.6852 0.0000
-1.2467 -2.1307 5.0582
Ga Ni Pa
2 4 1
direct
0.7500 0.2500 0.5000 Ga
0.2500 0.7500 0.5000 Ga
0.7221 0.5000 0.2221 Ni
0.5000 0.7221 0.2221 Ni
0.2779 0.5000 0.7779 Ni
0.5000 0.2779 0.7779 Ni
0.0000 0.0000 0.0000 Pa